[1]
Here is crystalline Li3CuRh3 at its relaxed geometry from Alexandria. Energies are from GGA-PBE.

Relative energy among the computed polymorphs in meV per atom: 157
Energy of formation in kcal/mol of atoms: 2.33
Mass density in g/cm3: 6.597

Lattice parameters (Å, degrees): 4.9842 4.9842 4.9842 108.39 108.39 108.39
Closest atoms and distances in Å follow each position.
Fractional coordinates of all 7 atoms:
1 Rh 0.5434 0.0146 0.0146  2 Cu 2.47-2.54, 5 Li 2.48-2.59
2 Li 0.5251 0.1027 0.5251  6 Rh 2.48-2.77, 1 Cu 2.56
3 Li 0.1027 0.5251 0.5251  6 Rh 2.48-2.77, 1 Cu 2.56
4 Cu 0.0738 0.0738 0.0738  6 Rh 2.47-2.54, 3 Li 2.56
5 Li 0.5251 0.5251 0.1027  6 Rh 2.48-2.77, 1 Cu 2.56
6 Rh 0.0146 0.5434 0.0146  2 Cu 2.47-2.54, 5 Li 2.48-2.59
7 Rh 0.0146 0.0146 0.5434  2 Cu 2.47-2.54, 5 Li 2.48-2.59



[2]
Here is crystalline CsRbBa2As at its relaxed geometry from Alexandria. Energies are from GGA-PBE.

Relative energy among the computed polymorphs in meV per atom: 18
Energy of formation in kcal/mol of atoms: -7.81
Mass density in g/cm3: 2.983

Lattice parameters (Å, degrees): 6.5520 6.5520 7.3656 90.00 90.00 90.00
Closest atoms and distances in Å follow each position.
Fractional coordinates of all 5 atoms:
1 Ba 0.5000 0.0000 0.0000  2 As 3.28
2 As 0.0000 0.0000 0.0000  4 Ba 3.28
3 Cs 0.5000 0.5000 0.5000  4 Rb 4.63, 8 Ba 4.93
4 Ba 0.0000 0.5000 0.0000  2 As 3.28
5 Rb 0.0000 0.0000 0.5000  2 As 3.68



[3]
Here is crystalline CdRhW at its relaxed geometry from Alexandria. Energies are from GGA-PBE.

Relative energy among the computed polymorphs in meV per atom: 109
Energy of formation in kcal/mol of atoms: 0.12
Mass density in g/cm3: 12.915

Lattice parameters (Å, degrees): 2.9489 9.9940 3.4829 90.00 90.00 90.00
Closest atoms and distances in Å follow each position.
Fractional coordinates of all 6 atoms:
1 W 0.0000 0.0783 0.5000  5 Rh 2.68-2.98, 6 W 2.77-2.95
2 Cd 0.5000 0.6034 0.0000  4 Rh 2.89, 6 Cd 2.95-3.08, 1 W 3.18
3 Rh 0.5000 0.2199 0.0000  5 W 2.68-2.98, 4 Cd 2.89, 2 Rh 2.95
4 W 0.5000 0.9217 0.0000  5 Rh 2.68-2.98, 6 W 2.77-2.95
5 Cd 0.0000 0.3966 0.5000  4 Rh 2.89, 6 Cd 2.95-3.08, 1 W 3.18
6 Rh 0.0000 0.7801 0.5000  5 W 2.68-2.98, 4 Cd 2.89, 2 Rh 2.95



[4]
Here is crystalline ZrSiCl3 at its relaxed geometry from Alexandria. Energies are from GGA-PBE.

Relative energy among the computed polymorphs in meV per atom: 0
Mass density in g/cm3: 2.854
Energy relative to the elements, uncorrected in eV per atom: -0.3872

Lattice parameters (Å, degrees): 5.0827 5.0827 5.0827 90.00 90.00 90.00
Closest atoms and distances in Å follow each position.
Fractional coordinates of all 5 atoms:
1 Cl 0.5000 0.0000 0.0000  2 Zr 2.54
2 Si 0.5000 0.5000 0.5000  12 Cl 3.59
3 Cl 0.0000 0.5000 0.0000  2 Zr 2.54
4 Zr 0.0000 0.0000 0.0000  6 Cl 2.54
5 Cl 0.0000 0.0000 0.5000  2 Zr 2.54



[5]
Here is crystalline MnAl2Ag at its relaxed geometry from Alexandria. Energies are from GGA-PBE.

Relative energy among the computed polymorphs in meV per atom: 128
Energy of formation in kcal/mol of atoms: -0.73
Mass density in g/cm3: 5.914

Lattice parameters (Å, degrees): 5.2933 5.2933 5.2933 145.71 132.69 59.73
Closest atoms and distances in Å follow each position.
Fractional coordinates of all 4 atoms:
1 Al 0.7340 0.2340 0.5000  2 Mn 2.59, 4 Ag 2.64, 2 Al 2.90
2 Ag 0.2572 0.7572 0.5000  6 Al 2.64-2.83, 2 Mn 2.78
3 Mn 0.5083 0.5083 0.0000  6 Al 2.59-2.64, 2 Ag 2.78
4 Al 0.0004 0.0004 0.0000  4 Mn 2.64, 2 Ag 2.83, 2 Al 2.90



[6]
Here is crystalline Sr4AlNi at its relaxed geometry from Alexandria. Energies are from GGA-PBE.

Energy of formation in kcal/mol of atoms: 20.10
Mass density in g/cm3: 3.214

Lattice parameters (Å, degrees): 6.8305 6.8305 6.8305 60.00 60.00 60.00
Closest atoms and distances in Å follow each position.
Fractional coordinates of all 6 atoms:
1 Sr 0.3750 0.3750 0.3750  6 Sr 3.41-3.42
2 Sr 0.8751 0.3750 0.3750  6 Sr 3.41-3.42
3 Ni 0.0000 0.0000 0.0000  12 Sr 4.00, 4 Al 4.18
4 Sr 0.3750 0.8751 0.3750  6 Sr 3.41-3.42
5 Sr 0.3750 0.3750 0.8751  6 Sr 3.41-3.42
6 Al 0.7500 0.7500 0.7500  12 Sr 4.00, 4 Ni 4.18